Entry 1:
Entry from Alexandria: a relaxed LiPr3Sc3Te8 crystal (PBE).

Cell and atoms, written as POSCAR:
```
LiPr3Sc3Te8
1.0
8.615 0.000 0.000
-4.307 7.460 -0.026
0.000 -4.948 7.141
Li Pr Sc Te
1 3 3 8
Direct
0.000 0.000 0.500
0.000 0.000 0.000
0.000 0.500 0.000
0.500 0.500 0.000
0.500 0.000 0.500
0.500 0.500 0.500
0.000 0.500 0.500
0.259 0.518 0.277
0.741 0.482 0.723
0.751 0.502 0.269
0.249 0.498 0.731
0.751 0.018 0.269
0.249 0.982 0.731
0.267 0.018 0.269
0.733 0.982 0.731
```

- Final energy: -79.42 eV/cell
- V: 457.9 Å³/cell
- Density of states at the Fermi level: 0.317 states/eV per atom
- Total magnetic moment: 0.00 μB/cell
- Formation energy without anion corrections: -19.04 eV/f.u.


Entry 2:
Entry from Alexandria: a relaxed Li3PrSc2Te6 crystal (PBE).

Cell and atoms, written as POSCAR:
```
Li3PrSc2Te6
1.0
-4.753 -1.447 5.501
4.767 -5.211 -2.251
4.697 4.523 3.572
Li Pr Sc Te
3 1 2 6
Direct
0.161 0.839 0.500
0.839 0.161 0.500
0.500 0.500 0.500
0.000 0.000 0.000
0.332 0.668 0.000
0.668 0.332 0.000
0.916 0.561 0.750
0.729 0.729 0.251
0.084 0.439 0.250
0.561 0.916 0.750
0.271 0.271 0.749
0.439 0.084 0.250
```

- Final energy: -56.51 eV/cell
- V: 333.2 Å³/cell
- Total magnetic moment: 0.00 μB/cell
- Formation energy without anion corrections: -14.48 eV/f.u.


Entry 3:
Entry from Alexandria: a relaxed LiPrScTe3 crystal (PBE).

Cell and atoms, written as POSCAR:
```
LiPrScTe3
1.0
4.247 0.000 0.000
0.000 8.660 -0.057
0.000 -2.347 9.219
Li Pr Sc Te
2 2 2 6
Direct
0.250 0.088 0.590
0.750 0.912 0.410
0.250 0.195 0.241
0.750 0.805 0.759
0.250 0.670 0.159
0.750 0.330 0.841
0.750 0.901 0.123
0.250 0.099 0.877
0.250 0.755 0.488
0.750 0.245 0.512
0.750 0.438 0.163
0.250 0.562 0.837
```

- Final energy: -59.58 eV/cell
- V: 338.5 Å³/cell
- Density of states at the Fermi level: 0.555 states/eV per atom
- Total magnetic moment: 0.00 μB/cell
- Formation energy without anion corrections: -7.34 eV/f.u.


Entry 4:
Entry from Alexandria: a relaxed LiPrSc2Tl4 crystal (PBE).

Cell and atoms, written as POSCAR:
```
LiPrSc2Tl4
1.0
-1.666 2.367 4.248
-1.923 -2.754 3.891
6.803 -0.774 6.209
Li Pr Sc Tl
1 1 2 4
Direct
0.500 0.500 0.500
0.000 0.000 0.000
0.754 0.754 0.738
0.246 0.246 0.262
0.383 0.383 0.852
0.870 0.870 0.389
0.130 0.130 0.611
0.617 0.617 0.148
```

- Final energy: -31.00 eV/cell
- V: 200.3 Å³/cell
- Energy relative to the elements: -0.273 eV/atom
- Density of states at the Fermi level: 0.596 states/eV per atom
- Total magnetic moment: 0.00 μB/cell


The lowest V belongs to which entry?
LiPrSc2Tl4


What did the second record say?
Entry from Alexandria: a relaxed Li3PrSc2Te6 crystal (PBE).

Cell and atoms, written as POSCAR:
```
Li3PrSc2Te6
1.0
-4.753 -1.447 5.501
4.767 -5.211 -2.251
4.697 4.523 3.572
Li Pr Sc Te
3 1 2 6
Direct
0.161 0.839 0.500
0.839 0.161 0.500
0.500 0.500 0.500
0.000 0.000 0.000
0.332 0.668 0.000
0.668 0.332 0.000
0.916 0.561 0.750
0.729 0.729 0.251
0.084 0.439 0.250
0.561 0.916 0.750
0.271 0.271 0.749
0.439 0.084 0.250
```

- Final energy: -56.51 eV/cell
- V: 333.2 Å³/cell
- Total magnetic moment: 0.00 μB/cell
- Formation energy without anion corrections: -14.48 eV/f.u.


Please write out number 3 again, unchanged.
Entry from Alexandria: a relaxed LiPrScTe3 crystal (PBE).

Cell and atoms, written as POSCAR:
```
LiPrScTe3
1.0
4.247 0.000 0.000
0.000 8.660 -0.057
0.000 -2.347 9.219
Li Pr Sc Te
2 2 2 6
Direct
0.250 0.088 0.590
0.750 0.912 0.410
0.250 0.195 0.241
0.750 0.805 0.759
0.250 0.670 0.159
0.750 0.330 0.841
0.750 0.901 0.123
0.250 0.099 0.877
0.250 0.755 0.488
0.750 0.245 0.512
0.750 0.438 0.163
0.250 0.562 0.837
```

- Final energy: -59.58 eV/cell
- V: 338.5 Å³/cell
- Density of states at the Fermi level: 0.555 states/eV per atom
- Total magnetic moment: 0.00 μB/cell
- Formation energy without anion corrections: -7.34 eV/f.u.